Below is crystalline Ac4ZnCI2 at its relaxed geometry, with properties calculated at the GGA-PBE level.

Lattice parameters (Å, degrees): 7.7375 4.2299 8.7676 90.00 106.24 90.00
Space group P2/m (No. 10)
Inequivalent atoms, fractional coordinates:
Ac (0.1979, 0.0000, 0.1802) (multiplicity 2)
Ac (0.2341, 0.5000, 0.8088) (multiplicity 2)
Zn (0.5000, 0.0000, 0.0000) (multiplicity 1)
C (0.0000, 0.5000, 0.0000) (multiplicity 1)
I (0.0000, 0.0000, 0.5000) (multiplicity 1)
I (0.5000, 0.5000, 0.5000) (multiplicity 1)

Theoretical density (g/cm³): 7.5
Calculated volume (A^3/atom): 34.44
Formation energy (no corrections) (eV/f.u.): -4.20
Final energy (Ry/atom): -0.3145

Below is crystalline La2YPb3 at its relaxed geometry, with properties calculated at the GGA-PBE level.

Lattice parameters (Å, degrees): 17.7001 6.6273 6.4904 90.00 101.69 90.00
Space group C2/c (No. 15)
Inequivalent atoms, fractional coordinates:
La (0.1694, 0.1198, 0.1036) (multiplicity 8)
Y (0.0000, 0.3774, 0.7500) (multiplicity 4)
Pb (0.0000, 0.1223, 0.2500) (multiplicity 4)
Pb (0.1573, 0.3870, 0.5742) (multiplicity 8)

Theoretical density (g/cm³): 8.8
Calculated volume (A^3/atom): 31.06
DFT formation energy (eV/f.u.): -3.170
E above lowest polymorph (meV per atom): 15
Final energy (Ry/atom): -0.3750

Below is crystalline LiTaF6 at its relaxed geometry, with properties calculated at the GGA-PBE level.

Lattice parameters (Å, degrees): 5.2217 5.2217 9.5713 90.00 90.00 120.00
Space group P-31c (No. 163)
Inequivalent atoms, fractional coordinates:
Li (0.3333, 0.6667, 0.2500) (multiplicity 2)
Ta (0.0000, 0.0000, 0.0000) (multiplicity 2)
F (0.0566, 0.3247, 0.1170) (multiplicity 12)

Theoretical density (g/cm³): 4.4
Calculated volume (A^3/atom): 14.13
Formation energy (no corrections) (eV/f.u.): -25.96
Final energy (Ry/atom): -0.4681

Below is crystalline La2YMgCl at its relaxed geometry, with properties calculated at the GGA-PBE level.

Lattice parameters (Å, degrees): 5.5410 5.5410 5.1804 90.00 90.00 90.00
Space group P4/mmm (No. 123)
Inequivalent atoms, fractional coordinates:
La (0.0000, 0.5000, 0.0000) (multiplicity 2)
Y (0.0000, 0.0000, 0.5000) (multiplicity 1)
Mg (0.5000, 0.5000, 0.5000) (multiplicity 1)
Cl (0.0000, 0.0000, 0.0000) (multiplicity 1)

Theoretical density (g/cm³): 4.5
Calculated volume (A^3/atom): 31.81
Formation energy (no corrections) (eV/f.u.): -2.54
Final energy (Ry/atom): -0.3278

Below is crystalline ScCoAg2 at its relaxed geometry, with properties calculated at the GGA-PBE level.

Lattice parameters (Å, degrees): 3.2878 3.2878 6.2450 90.00 90.00 90.00
Space group P4mm (No. 99)
Inequivalent atoms, fractional coordinates:
Sc (0.0000, 0.0000, 0.0000) (multiplicity 1)
Co (0.5000, 0.5000, 0.7897) (multiplicity 1)
Ag (0.0000, 0.0000, 0.5473) (multiplicity 1)
Ag (0.5000, 0.5000, 0.2866) (multiplicity 1)

Theoretical density (g/cm³): 7.9
Calculated volume (A^3/atom): 16.88
DFT formation energy (eV/f.u.): -0.125
Final energy (Ry/atom): -0.3540

Below is crystalline CoCuOs2 at its relaxed geometry, with properties calculated at the GGA-PBE level.

Lattice parameters (Å, degrees): 5.9671 5.9671 5.9671 90.00 90.00 90.00
Space group F-43m (No. 216)
Inequivalent atoms, fractional coordinates:
Co (0.0000, 0.0000, 0.0000) (multiplicity 4)
Cu (0.2500, 0.2500, 0.7500) (multiplicity 4)
Os (0.0000, 0.0000, 0.5000) (multiplicity 4)
Os (0.2500, 0.2500, 0.2500) (multiplicity 4)

Theoretical density (g/cm³): 15.7
Calculated volume (A^3/atom): 13.28
DFT formation energy (eV/f.u.): 1.696
E above lowest polymorph (meV per atom): 193
Final energy (Ry/atom): -0.5874

Below is crystalline DyTiO at its relaxed geometry, with properties calculated at the GGA-PBE level.

Lattice parameters (Å, degrees): 11.1866 3.1494 5.4520 90.00 90.00 90.00
Space group Amm2 (No. 38)
Inequivalent atoms, fractional coordinates:
Dy (0.1447, 0.0000, 0.0000) (multiplicity 4)
Ti (0.3819, 0.0000, 0.3346) (multiplicity 4)
O (0.0000, 0.0000, 0.3332) (multiplicity 2)
O (0.5000, 0.0000, 0.0013) (multiplicity 2)

Theoretical density (g/cm³): 7.8
Calculated volume (A^3/atom): 16.01
Formation energy (no corrections) (eV/f.u.): -4.24
Final energy (Ry/atom): -0.5316

Below is crystalline NpPb2Se3 at its relaxed geometry, with properties calculated at the GGA-PBE level.

Lattice parameters (Å, degrees): 6.0448 15.0150 4.1295 90.00 90.00 90.00
Space group Cmmm (No. 65)
Inequivalent atoms, fractional coordinates:
Np (0.0000, 0.0000, 0.0000) (multiplicity 2)
Pb (0.0000, 0.3469, 0.5000) (multiplicity 4)
Se (0.0000, 0.1367, 0.5000) (multiplicity 4)
Se (0.0000, 0.5000, 0.0000) (multiplicity 2)

Theoretical density (g/cm³): 7.9
Calculated volume (A^3/atom): 31.23
Formation energy (no corrections) (eV/f.u.): -3.75
Final energy (Ry/atom): -0.4233

Below is crystalline ScTiCd2Ge at its relaxed geometry, with properties calculated at the GGA-PBE level.

Lattice parameters (Å, degrees): 5.0170 5.0170 4.8841 90.00 90.00 90.00
Space group P4/mmm (No. 123)
Inequivalent atoms, fractional coordinates:
Sc (0.0000, 0.0000, 0.0000) (multiplicity 1)
Ti (0.5000, 0.5000, 0.0000) (multiplicity 1)
Cd (0.0000, 0.5000, 0.5000) (multiplicity 2)
Ge (0.5000, 0.5000, 0.5000) (multiplicity 1)

Theoretical density (g/cm³): 5.3
Calculated volume (A^3/atom): 24.59
DFT formation energy (eV/f.u.): 2.146
Final energy (Ry/atom): -0.2724

Below is crystalline LiHo6Er2 at its relaxed geometry, with properties calculated at the GGA-PBE level.

Lattice parameters (Å, degrees): 10.4282 10.4282 4.9727 90.00 90.00 90.00
Space group P4_2/mnm (No. 136)
Inequivalent atoms, fractional coordinates:
Li (0.0000, 0.0000, 0.0000) (multiplicity 2)
Ho (0.0011, 0.3350, 0.0000) (multiplicity 8)
Ho (0.1667, 0.8333, 0.5000) (multiplicity 4)
Er (0.1697, 0.1697, 0.5000) (multiplicity 4)

Theoretical density (g/cm³): 8.2
Calculated volume (A^3/atom): 30.04
DFT formation energy (eV/f.u.): 0.723
Final energy (Ry/atom): -0.3086

Below is crystalline ReSi2Pd at its relaxed geometry, with properties calculated at the GGA-PBE level.

Lattice parameters (Å, degrees): 6.0431 6.0431 6.0431 90.00 90.00 90.00
Space group Fm-3m (No. 225)
Inequivalent atoms, fractional coordinates:
Re (0.0000, 0.0000, 0.0000) (multiplicity 4)
Si (0.2500, 0.2500, 0.2500) (multiplicity 8)
Pd (0.0000, 0.0000, 0.5000) (multiplicity 4)

Theoretical density (g/cm³): 10.5
Calculated volume (A^3/atom): 13.79
Formation energy (no corrections) (eV/f.u.): -0.38
E above lowest polymorph (meV per atom): 163
Final energy (Ry/atom): -0.5304

Below is crystalline Li2Y2ErPd5 at its relaxed geometry, with properties calculated at the GGA-PBE level.

Lattice parameters (Å, degrees): 9.9155 9.9155 3.6685 90.00 90.00 90.00
Space group P4/mbm (No. 127)
Inequivalent atoms, fractional coordinates:
Li (0.1205, 0.3795, 0.0000) (multiplicity 4)
Y (0.1750, 0.6750, 0.0000) (multiplicity 4)
Er (0.0000, 0.0000, 0.0000) (multiplicity 2)
Pd (0.0000, 0.5000, 0.5000) (multiplicity 2)
Pd (0.0695, 0.2134, 0.5000) (multiplicity 8)

Theoretical density (g/cm³): 8.2
Calculated volume (A^3/atom): 18.03
DFT formation energy (eV/f.u.): -7.507
Final energy (Ry/atom): -0.4027